The following is a PBE calculation of a geometry-optimized NbZnIrRh structure, from the Alexandria database.

Cell and atoms, written as CIF:
```
data_NbZnIrRh
_cell_length_a 4.083
_cell_length_b 4.083
_cell_length_c 7.250
_cell_angle_alpha 90.00
_cell_angle_beta 90.00
_cell_angle_gamma 90.00
_symmetry_space_group_name_H-M 'P 1'
_symmetry_Int_Tables_number 1
loop_
_symmetry_equiv_pos_as_xyz
'x,y,z'
loop_
_atom_site_label
_atom_site_fract_x
_atom_site_fract_y
_atom_site_fract_z
Nb1 0.000 0.000 0.000
Nb2 0.500 0.500 0.500
Zn1 0.000 0.000 0.500
Zn2 0.500 0.500 0.000
Ir1 0.000 0.500 0.250
Ir2 0.500 0.000 0.750
Rh1 0.000 0.500 0.750
Rh2 0.500 0.000 0.250
```

Summary:
* E_tot: -59.2 eV for the cell shown
* calculated volume: 120.9 Å³ per cell
* ΔE_f: -506 meV/atom
* density: 12.458 g cm⁻³